(1)
Crystalline Er5Ru2O12 at its relaxed geometry, computed with PBE-GGA. Values from VASP.

The structure in Quantum ESPRESSO input format:
```
&SYSTEM
  ibrav = 0, nat = 19, ntyp = 3
/
ATOMIC_SPECIES
Er 167.26 Er.upf
O 16.00 O.upf
Ru 101.07 Ru.upf
CELL_PARAMETERS angstrom
5.7901 0.0000 0.0000
-2.8950 5.8543 -1.8424
0.0000 -0.0097 7.3287
ATOMIC_POSITIONS angstrom
Er 0.0000 3.6375 0.1266
Er 2.8950 2.2071 5.3597
Er 0.0000 -0.0049 3.6643
Er 2.8950 2.3125 1.9151
Er 0.0000 3.5321 3.5712
O 0.0000 5.8416 4.1177
O 4.3364 1.7901 3.6399
O -1.4414 4.0545 1.8464
O 1.4536 1.7901 3.6399
O 4.2865 1.9448 0.0107
O 2.8950 0.0030 1.3686
O 1.4414 4.0545 1.8464
O -1.3915 3.8998 5.4756
O 1.3915 3.8998 5.4756
O 0.0000 0.0013 5.8867
O 2.8950 5.8433 -0.4004
O 1.5035 1.9448 0.0107
Ru 1.3661 0.0000 0.0000
Ru 4.4240 0.0000 0.0000
```

As for the crystal system: monoclinic. The space group is No. 12. The electronic total energy is -153.0 eV for the cell shown. Its uncorrected formation energy is -2.7424 eV per atom. The density of states at the Fermi level comes out at 1.3 states/eV per cell. The value obtained for the calculated volume is 13.07 A^3/atom.

(2)
Crystalline Na2Be2InPt5 at its relaxed geometry, computed with PBE-GGA. Values from VASP.

The structure in Quantum ESPRESSO input format:
```
&SYSTEM
  ibrav = 0, nat = 20, ntyp = 4
/
ATOMIC_SPECIES
Pt 195.08 Pt.upf
Be 9.01 Be.upf
Na 22.99 Na.upf
In 114.82 In.upf
CELL_PARAMETERS angstrom
-1.4421 -2.8771 1.0545
-1.4105 -2.6504 -9.1601
8.6071 -4.3398 -0.0697
ATOMIC_POSITIONS angstrom
Pt -0.4418 -2.3213 -1.4994
Pt 6.1963 -7.5459 -6.6759
Pt -0.1350 -4.8650 -8.0197
Pt 3.5825 -3.6084 0.4924
Pt 1.0742 -3.7939 -3.4437
Pt 5.8895 -5.0023 -0.1556
Pt -1.4263 -2.7637 -4.0528
Pt 3.7792 -4.6464 -2.0705
Pt 4.6803 -6.0734 -4.7315
Pt 1.9753 -5.2209 -6.1047
Be 0.5201 -1.5318 -3.4681
Be 2.0128 -3.9653 -8.0660
Be 5.1838 -3.0249 -1.1638
Be 6.6766 -5.4583 -5.7616
Na 4.6628 -5.1187 -7.5890
Na 0.5661 -2.5601 -6.2106
Na 2.5338 -1.8714 -1.6408
Na 6.6305 -4.4301 -3.0192
In 3.5983 -3.4951 -4.6149
In 0.0000 0.0000 0.0000
```

As for the crystal system: tetragonal. The space group is No. 127. The value obtained for the formation energy is -0.488 eV/atom. The electronic total energy is -95.8 eV for the cell shown. The density of states at the Fermi level comes out at 5.0 states/eV per cell. The value obtained for the calculated volume is 15.73 A^3/atom.

(3)
Crystalline SnPtNO2 at its relaxed geometry, computed with PBE-GGA. Values from VASP.

The structure in Quantum ESPRESSO input format:
```
&SYSTEM
  ibrav = 0, nat = 5, ntyp = 4
/
ATOMIC_SPECIES
Sn 118.71 Sn.upf
O 16.00 O.upf
N 14.01 N.upf
Pt 195.08 Pt.upf
CELL_PARAMETERS angstrom
4.2564 0.0000 0.0000
0.0000 4.2564 0.0000
0.0000 0.0000 3.7356
ATOMIC_POSITIONS angstrom
Sn 2.1282 2.1282 1.8678
O 0.0000 2.1282 0.0000
O 2.1282 0.0000 0.0000
N 0.0000 0.0000 1.8678
Pt 0.0000 0.0000 0.0000
```

As for the crystal system: tetragonal. The space group is No. 123. The electronic total energy is -27.5 eV for the cell shown. Its uncorrected formation energy is 0.1630 eV per atom. The density of states at the Fermi level comes out at 2.8 states/eV per cell. The value obtained for the calculated volume is 13.54 A^3/atom.

(4)
Crystalline Ho4Bi2B at its relaxed geometry, computed with PBE-GGA. Values from VASP.

The structure in Quantum ESPRESSO input format:
```
&SYSTEM
  ibrav = 0, nat = 7, ntyp = 3
/
ATOMIC_SPECIES
Ho 164.93 Ho.upf
Bi 208.98 Bi.upf
B 10.81 B.upf
CELL_PARAMETERS angstrom
4.9315 0.0000 0.0000
0.0000 4.9315 0.0000
2.4658 2.4658 7.9957
ATOMIC_POSITIONS angstrom
Ho 0.0000 2.4658 0.0000
Ho 4.9315 4.9315 2.5164
Ho 2.4657 2.4657 5.4794
Ho 2.4658 0.0000 0.0000
Bi 2.4658 2.4658 2.2793
Bi 4.9315 4.9315 5.7164
B 0.0000 0.0000 0.0000
```

As for the crystal system: tetragonal. The space group is No. 139. The value obtained for the formation energy is -0.582 eV/atom. The electronic total energy is -36.8 eV for the cell shown. The density of states at the Fermi level comes out at 3.5 states/eV per cell. The calculation puts the distance to the lowest polymorph of the same formula at 0 meV per atom. The value obtained for the calculated volume is 27.78 A^3/atom.